Entry 1:
Density functional theory data (meta-GGA SCAN) for TlSeSBr2 at its PBEsol-relaxed geometry.

Its uncorrected formation energy is -0.19 eV per formula unit.

Cell lengths 5.1212, 5.1212, 4.9320 Å; angles 90.00, 90.00, 90.00 degrees
Space group P4/mmm (No. 123)
Symmetry-distinct sites (fractional):
Tl 0.0000 0.0000 0.0000 [1 per cell]
Se 0.5000 0.5000 0.0000 [1 per cell]
S 0.5000 0.5000 0.5000 [1 per cell]
Br 0.0000 0.5000 0.5000 [2 per cell]

Entry 2:
Density functional theory data (meta-GGA SCAN) for YTiS2 at its PBEsol-relaxed geometry.

Its uncorrected formation energy is -5.81 eV per formula unit.

Cell lengths 5.6313, 5.6313, 11.6896 Å; angles 90.00, 90.00, 90.00 degrees
Space group I-42d (No. 122)
Symmetry-distinct sites (fractional):
Y 0.0000 0.0000 0.0000 [4 per cell]
Ti 0.0000 0.0000 0.5000 [4 per cell]
S 0.2080 0.2500 0.6250 [8 per cell]

Entry 3:
Density functional theory data (meta-GGA SCAN) for Cd2InHg2 at its PBEsol-relaxed geometry.

The calculation puts the formation energy at 0.03 eV/atom.

Cell lengths 8.5891, 8.5891, 3.1356 Å; angles 90.00, 90.00, 90.00 degrees
Space group P4/mbm (No. 127)
Symmetry-distinct sites (fractional):
Cd 0.1306 0.3694 0.0000 [4 per cell]
In 0.0000 0.0000 0.5000 [2 per cell]
Hg 0.1673 0.6673 0.5000 [4 per cell]

Entry 4:
Density functional theory data (meta-GGA SCAN) for CsCuRhF6 at its PBEsol-relaxed geometry.

Its uncorrected formation energy is -19.33 eV per formula unit.

Cell lengths 7.2475, 7.2626, 10.5551 Å; angles 90.00, 90.00, 90.00 degrees
Space group Imma (No. 74)
Symmetry-distinct sites (fractional):
Cs 0.0000 0.2500 0.1068 [4 per cell]
Cu 0.2500 0.2500 0.7500 [4 per cell]
Rh 0.0000 0.0000 0.5000 [4 per cell]
F 0.0000 0.2500 0.4238 [4 per cell]
F 0.0000 0.2500 0.8119 [4 per cell]
F 0.2009 0.0475 0.6206 [16 per cell]

Entry 5:
Density functional theory data (meta-GGA SCAN) for NaTeAsSe2 at its PBEsol-relaxed geometry.

Its uncorrected formation energy is 0.78 eV per formula unit.

Cell lengths 5.3775, 5.3775, 5.3180 Å; angles 90.00, 90.00, 90.00 degrees
Space group P4/mmm (No. 123)
Symmetry-distinct sites (fractional):
Na 0.0000 0.0000 0.0000 [1 per cell]
Te 0.5000 0.5000 0.5000 [1 per cell]
As 0.5000 0.5000 0.0000 [1 per cell]
Se 0.0000 0.5000 0.5000 [2 per cell]

Entry 6:
Density functional theory data (meta-GGA SCAN) for BaCr2Rh2 at its PBEsol-relaxed geometry.

The calculation puts the formation energy at 0.40 eV/atom.

Cell lengths 4.4304, 4.4304, 8.9180 Å; angles 90.00, 90.00, 90.00 degrees
Space group I4/mmm (No. 139)
Symmetry-distinct sites (fractional):
Ba 0.0000 0.0000 0.0000 [2 per cell]
Cr 0.0000 0.0000 0.3887 [4 per cell]
Rh 0.0000 0.5000 0.2500 [4 per cell]

Entry 7:
Density functional theory data (meta-GGA SCAN) for ZrTl2CuHg at its PBEsol-relaxed geometry.

The calculation puts the formation energy at 1.13 eV/atom.

Cell lengths 5.3218, 5.3218, 5.4292 Å; angles 90.00, 90.00, 90.00 degrees
Space group P4/mmm (No. 123)
Symmetry-distinct sites (fractional):
Zr 0.0000 0.0000 0.0000 [1 per cell]
Tl 0.0000 0.5000 0.5000 [2 per cell]
Cu 0.5000 0.5000 0.0000 [1 per cell]
Hg 0.0000 0.0000 0.5000 [1 per cell]

Entry 8:
Density functional theory data (meta-GGA SCAN) for Na2Sr2La at its PBEsol-relaxed geometry.

The calculation puts the formation energy at 0.19 eV/atom.

Cell lengths 4.2286, 4.2286, 23.7114 Å; angles 90.00, 90.00, 90.00 degrees
Space group I4/mmm (No. 139)
Symmetry-distinct sites (fractional):
Na 0.0000 0.5000 0.2500 [4 per cell]
Sr 0.0000 0.0000 0.1081 [4 per cell]
La 0.0000 0.0000 0.5000 [2 per cell]

Entry 9:
Density functional theory data (meta-GGA SCAN) for NbSbNO2 at its PBEsol-relaxed geometry.

Its uncorrected formation energy is -0.68 eV per formula unit.

Cell lengths 3.9581, 3.9581, 4.0838 Å; angles 90.00, 90.00, 90.00 degrees
Space group P4/mmm (No. 123)
Symmetry-distinct sites (fractional):
Nb 0.0000 0.0000 0.0000 [1 per cell]
Sb 0.5000 0.5000 0.5000 [1 per cell]
N 0.5000 0.5000 0.0000 [1 per cell]
O 0.0000 0.5000 0.5000 [2 per cell]

Entry 10:
Density functional theory data (meta-GGA SCAN) for SbAuCl2 at its PBEsol-relaxed geometry.

Its uncorrected formation energy is -0.91 eV per formula unit.

Cell lengths 3.9959, 5.7274, 8.1999 Å; angles 90.00, 90.00, 90.00 degrees
Space group Cmm2 (No. 35)
Symmetry-distinct sites (fractional):
Sb 0.0000 0.0000 0.0000 [2 per cell]
Au 0.0000 0.5000 0.2220 [2 per cell]
Cl 0.0000 0.0000 0.4076 [2 per cell]
Cl 0.0000 0.5000 0.7614 [2 per cell]

Entry 11:
Density functional theory data (meta-GGA SCAN) for SbTe2Cl at its PBEsol-relaxed geometry.

Its uncorrected formation energy is -1.05 eV per formula unit.

Cell lengths 10.6531, 4.2036, 5.7324 Å; angles 90.00, 105.76, 90.00 degrees
Space group Cm (No. 8)
Symmetry-distinct sites (fractional):
Sb 0.0000 0.0000 0.0000 [2 per cell]
Te 0.1263 0.5000 0.3771 [2 per cell]
Te 0.4256 0.0000 0.5931 [2 per cell]
Cl 0.2216 0.0000 0.9411 [2 per cell]

Entry 12:
Density functional theory data (meta-GGA SCAN) for MoAs2BrF at its PBEsol-relaxed geometry.

Its uncorrected formation energy is 0.56 eV per formula unit.

Cell lengths 4.7736, 4.7736, 4.9472 Å; angles 90.00, 90.00, 90.00 degrees
Space group P4/mmm (No. 123)
Symmetry-distinct sites (fractional):
Mo 0.0000 0.0000 0.0000 [1 per cell]
As 0.0000 0.5000 0.0000 [2 per cell]
Br 0.0000 0.0000 0.5000 [1 per cell]
F 0.5000 0.5000 0.5000 [1 per cell]

E per entry: -28.235 -17.235 -46.082 -14.150 -20.207 -28.368 -50.625 -19.026 -18.565 -30.820 -30.197 -19.541 eV per atom